# CsHg4Sb

Crystalline CsHg4Sb at its relaxed geometry (PBE-GGA, the Alexandria database).

```
CsHg4Sb
1.0
5.694 0.000 -1.763
0.000 9.631 0.000
-0.582 0.000 8.197
Cs Hg Sb
2 8 2
direct
0.389 0.750 0.778 Cs
0.611 0.250 0.222 Cs
0.366 0.250 0.731 Hg
0.214 0.456 0.428 Hg
0.786 0.544 0.572 Hg
0.000 0.000 0.000 Hg
0.000 0.500 0.000 Hg
0.214 0.044 0.428 Hg
0.634 0.750 0.269 Hg
0.786 0.956 0.572 Hg
0.104 0.750 0.208 Sb
0.896 0.250 0.792 Sb
```

Values from the calculation:
N(E_F): 2.59 states/eV/f.u.
Excess energy over the best structure of this formula in the dataset: 0.00 kJ/mol of atoms
Symmetry: Cmcm (63)